1.
Computed, not measured: HfZr2Ga after structural relaxation at the PBE level of DFT. Values from VASP.

Results
E_form	-24	kJ per mole of atoms
distance to the lowest polymorph of the same formula	5.0	kJ/mol of atoms
SG	P4/mmm (123)

Cell and atoms, written as Quantum ESPRESSO input:
```
&SYSTEM
  ibrav = 0, nat = 4, ntyp = 3
/
ATOMIC_SPECIES
Hf 178.49 Hf.upf
Ga 69.72 Ga.upf
Zr 91.22 Zr.upf
ATOMIC_POSITIONS crystal
Hf 0.500 0.500 0.500
Ga 0.500 0.500 0.000
Zr 0.000 0.000 0.769
Zr 0.000 0.000 0.231
CELL_PARAMETERS angstrom
-0.290 -1.370 -2.852
1.014 -2.753 1.219
-7.911 -2.109 1.818
```


2.
Computed, not measured: RbAgH2 after structural relaxation at the PBE level of DFT. Values from VASP.

Results
distance to the lowest polymorph of the same formula	0.7	kJ/mol of atoms
SG	P2_1/m (11)

Cell and atoms, written as Quantum ESPRESSO input:
```
&SYSTEM
  ibrav = 0, nat = 8, ntyp = 3
/
ATOMIC_SPECIES
Rb 85.47 Rb.upf
Ag 107.87 Ag.upf
H 1.01 H.upf
ATOMIC_POSITIONS crystal
Rb 0.250 0.734 0.378
Rb 0.750 0.266 0.622
Ag 0.250 0.163 0.072
Ag 0.750 0.837 0.928
H 0.750 0.924 0.220
H 0.250 0.293 0.359
H 0.750 0.707 0.641
H 0.250 0.076 0.780
CELL_PARAMETERS angstrom
-0.199 -4.666 0.159
6.417 -0.337 -1.873
0.052 0.203 6.021
```


3.
Computed, not measured: Cs2LiCdS after structural relaxation at the PBE level of DFT. Values from VASP.

Results
formation energy (no corrections)	-0.57	eV/atom
SG	P4/mmm (123)

Cell and atoms, written as Quantum ESPRESSO input:
```
&SYSTEM
  ibrav = 0, nat = 5, ntyp = 4
/
ATOMIC_SPECIES
Cs 132.91 Cs.upf
S 32.06 S.upf
Li 6.94 Li.upf
Cd 112.41 Cd.upf
ATOMIC_POSITIONS crystal
Cs 0.000 0.500 0.000
Cs 0.500 0.000 0.000
S 0.000 0.000 0.000
Li 0.000 0.000 0.500
Cd 0.500 0.500 0.500
CELL_PARAMETERS angstrom
-2.881 6.408 -0.388
-6.316 -2.905 -1.087
-0.742 -0.062 4.480
```


4.
Computed, not measured: Nd4HoTh3 after structural relaxation at the PBE level of DFT. Values from VASP.

Results
E_form	3	kJ per mole of atoms
SG	Pmmn (59)

Cell and atoms, written as Quantum ESPRESSO input:
```
&SYSTEM
  ibrav = 0, nat = 16, ntyp = 3
/
ATOMIC_SPECIES
Nd 144.24 Nd.upf
Ho 164.93 Ho.upf
Th 232.04 Th.upf
ATOMIC_POSITIONS crystal
Nd 0.064 0.862 0.000
Nd 0.564 0.131 0.000
Nd 0.064 0.134 0.251
Nd 0.564 0.866 0.249
Nd 0.064 0.869 0.500
Nd 0.564 0.138 0.500
Nd 0.564 0.866 0.751
Nd 0.064 0.134 0.749
Ho 0.064 0.382 0.000
Ho 0.564 0.618 0.500
Th 0.564 0.619 0.000
Th 0.064 0.618 0.248
Th 0.564 0.382 0.252
Th 0.064 0.381 0.500
Th 0.564 0.382 0.748
Th 0.064 0.618 0.752
CELL_PARAMETERS angstrom
-2.591 3.943 1.919
-3.062 -5.869 7.923
8.249 2.845 5.296
```


5.
Computed, not measured: CePm14Sm after structural relaxation at the PBE level of DFT. Values from VASP.

Results
E_form	3	kJ per mole of atoms
SG	P4/mmm (123)

Cell and atoms, written as Quantum ESPRESSO input:
```
&SYSTEM
  ibrav = 0, nat = 16, ntyp = 3
/
ATOMIC_SPECIES
Ce 140.12 Ce.upf
Pm 145.00 Pm.upf
Sm 150.36 Sm.upf
ATOMIC_POSITIONS crystal
Ce 0.875 0.125 0.000
Pm 0.375 0.625 0.500
Pm 0.875 0.125 0.500
Pm 0.875 0.625 0.000
Pm 0.875 0.625 0.500
Pm 0.375 0.125 0.000
Pm 0.375 0.125 0.500
Pm 0.627 0.877 0.752
Pm 0.627 0.877 0.248
Pm 0.123 0.373 0.752
Pm 0.123 0.373 0.248
Pm 0.123 0.877 0.752
Pm 0.123 0.877 0.248
Pm 0.627 0.373 0.752
Pm 0.627 0.373 0.248
Sm 0.375 0.625 0.000
CELL_PARAMETERS angstrom
7.227 0.970 0.000
-0.969 7.227 0.000
0.000 0.000 10.304
```


6.
Computed, not measured: Li2CdOs after structural relaxation at the PBE level of DFT. Values from VASP.

Results
E_form	6	kJ per mole of atoms
SG	R-3m (166)

Cell and atoms, written as Quantum ESPRESSO input:
```
&SYSTEM
  ibrav = 0, nat = 4, ntyp = 3
/
ATOMIC_SPECIES
Cd 112.41 Cd.upf
Li 6.94 Li.upf
Os 190.23 Os.upf
ATOMIC_POSITIONS crystal
Cd 0.750 0.750 0.750
Li 0.993 0.993 0.993
Li 0.507 0.507 0.507
Os 0.250 0.250 0.250
CELL_PARAMETERS angstrom
9.716 0.009 0.005
9.324 2.732 0.005
9.324 1.342 2.380
```


7.
Computed, not measured: CrInCu2 after structural relaxation at the PBE level of DFT. Values from VASP.

Results
E_form	25	kJ per mole of atoms
SG	Pm (6)

Cell and atoms, written as Quantum ESPRESSO input:
```
&SYSTEM
  ibrav = 0, nat = 4, ntyp = 3
/
ATOMIC_SPECIES
Cr 52.00 Cr.upf
Cu 63.55 Cu.upf
In 114.82 In.upf
ATOMIC_POSITIONS crystal
Cr 0.500 0.789 0.799
Cu 0.000 0.195 0.986
Cu 0.500 0.062 0.250
In 0.000 0.455 0.466
CELL_PARAMETERS angstrom
4.120 0.000 0.000
0.000 2.982 -0.006
0.000 1.511 5.080
```


8.
Computed, not measured: Ba3Nb3N5 after structural relaxation at the PBE level of DFT. Values from VASP.

Results
formation energy (no corrections)	-0.77	eV/atom
SG	P-1 (2)

Cell and atoms, written as Quantum ESPRESSO input:
```
&SYSTEM
  ibrav = 0, nat = 22, ntyp = 3
/
ATOMIC_SPECIES
Ba 137.33 Ba.upf
Nb 92.91 Nb.upf
N 14.01 N.upf
ATOMIC_POSITIONS crystal
Ba 0.760 0.438 0.605
Ba 0.240 0.562 0.395
Ba 0.640 0.822 0.909
Ba 0.360 0.178 0.091
Ba 0.699 0.693 0.256
Ba 0.301 0.307 0.744
Nb 0.893 0.311 0.969
Nb 0.107 0.689 0.031
Nb 0.663 0.999 0.633
Nb 0.337 0.001 0.367
Nb 0.079 0.879 0.697
Nb 0.921 0.121 0.303
N 0.993 0.099 0.820
N 0.007 0.901 0.180
N 0.724 0.755 0.574
N 0.276 0.245 0.426
N 0.771 0.507 0.936
N 0.229 0.493 0.064
N 0.274 0.929 0.548
N 0.726 0.071 0.452
N 0.154 0.758 0.847
N 0.846 0.242 0.153
CELL_PARAMETERS angstrom
-0.306 1.779 -5.815
-3.005 -7.916 -0.365
-6.157 5.726 3.917
```


9.
Computed, not measured: ZnCd2SiO after structural relaxation at the PBE level of DFT. Values from VASP.

Results
formation energy (no corrections)	0.03	eV/atom
SG	P4/mmm (123)

Cell and atoms, written as Quantum ESPRESSO input:
```
&SYSTEM
  ibrav = 0, nat = 5, ntyp = 4
/
ATOMIC_SPECIES
Zn 65.41 Zn.upf
Si 28.09 Si.upf
O 16.00 O.upf
Cd 112.41 Cd.upf
ATOMIC_POSITIONS crystal
Zn 0.500 0.500 0.500
Si 0.000 0.500 0.000
O 0.000 0.000 0.000
Cd 0.000 0.000 0.500
Cd 0.500 0.000 0.000
CELL_PARAMETERS angstrom
-3.765 2.050 -2.996
-2.281 -2.343 1.262
-1.264 3.305 3.851
```


10.
Computed, not measured: Pm4ZnTe3 after structural relaxation at the PBE level of DFT. Values from VASP.

Results
formation energy (no corrections)	-1.14	eV/atom
SG	Cmmm (65)

Cell and atoms, written as Quantum ESPRESSO input:
```
&SYSTEM
  ibrav = 0, nat = 8, ntyp = 3
/
ATOMIC_SPECIES
Pm 145.00 Pm.upf
Zn 65.41 Zn.upf
Te 127.60 Te.upf
ATOMIC_POSITIONS crystal
Pm 0.000 0.236 0.236
Pm 0.500 0.759 0.241
Pm 0.000 0.764 0.764
Pm 0.500 0.241 0.759
Zn 0.500 0.000 0.000
Te 0.000 0.000 0.500
Te 0.500 0.500 0.500
Te 0.000 0.500 0.000
CELL_PARAMETERS angstrom
-1.257 -2.883 -2.958
6.367 1.458 -4.128
1.582 -5.741 4.924
```


11.
Computed, not measured: La2Pm3NdEr6 after structural relaxation at the PBE level of DFT. Values from VASP.

Results
E_form	1	kJ per mole of atoms
SG	C2/m (12)

Cell and atoms, written as Quantum ESPRESSO input:
```
&SYSTEM
  ibrav = 0, nat = 12, ntyp = 4
/
ATOMIC_SPECIES
La 138.91 La.upf
Pm 145.00 Pm.upf
Nd 144.24 Nd.upf
Er 167.26 Er.upf
ATOMIC_POSITIONS crystal
La 0.333 0.667 0.000
La 0.667 0.333 0.000
Pm 0.167 0.833 0.500
Pm 0.833 0.167 0.500
Pm 0.500 0.500 0.500
Nd 0.000 0.000 0.000
Er 0.916 0.583 0.748
Er 0.752 0.752 0.252
Er 0.084 0.417 0.252
Er 0.583 0.916 0.748
Er 0.248 0.248 0.748
Er 0.417 0.084 0.252
CELL_PARAMETERS angstrom
6.253 0.000 0.009
-3.125 5.416 0.009
-1.057 -1.831 11.598
```


12.
Computed, not measured: BeTeIr2Br after structural relaxation at the PBE level of DFT. Values from VASP.

Results
formation energy (no corrections)	0.98	eV/atom
SG	P4/mmm (123)

Cell and atoms, written as Quantum ESPRESSO input:
```
&SYSTEM
  ibrav = 0, nat = 5, ntyp = 4
/
ATOMIC_SPECIES
Be 9.01 Be.upf
Ir 192.22 Ir.upf
Te 127.60 Te.upf
Br 79.90 Br.upf
ATOMIC_POSITIONS crystal
Be 0.000 0.000 0.000
Ir 0.000 0.000 0.500
Ir 0.500 0.000 0.000
Te 0.000 0.500 0.000
Br 0.500 0.500 0.500
CELL_PARAMETERS angstrom
4.338 0.000 0.000
0.000 4.839 0.000
0.000 0.000 4.338
```